ScRu: relaxed, PBE-GGA.

```
16
Lattice="-0.811 8.216 5.591 -9.666 0.652 -2.360 -0.721 -1.752 2.470" Properties=species:S:1:pos:R:3 pbc="T T T"
Ru -4.783 2.156 2.093
Ru -0.816 1.403 0.757
Ru -9.661 7.466 2.474
Ru -2.350 7.744 4.807
Ru -8.127 1.124 -1.576
Ru -4.060 4.030 3.634
Ru -6.415 4.961 3.607
Ru -7.138 3.087 2.066
Sc -4.407 6.874 3.588
Sc -6.069 1.995 -0.357
Sc -2.193 3.318 1.713
Sc -7.791 6.877 4.563
Sc -9.196 2.216 0.847
Sc -2.002 4.901 4.853
Sc -8.284 5.551 1.517
Sc -3.406 0.240 1.137
```

## Properties
The calculation puts the total energy at -124.285 eV per cell. The value obtained for the formation energy is 0.0359 eV/atom. Its symmetry is I4/m. Its crystal system is tetragonal. The calculation puts the theoretical density at 6.3 g/cm³. For the density of states at the Fermi level, the calculation gives 3.05 states/eV/f.u. As for the magnetization: 0.01 μB/cell.

ScRu: relaxed, PBE-GGA.

```
2
Lattice="-2.930 -1.498 -2.355 -2.543 -2.788 1.461 -3.864 0.964 0.717" Properties=species:S:1:pos:R:3 pbc="T T T"
Sc -7.003 -2.492 -0.133
Ru 0.000 0.000 0.000
```

## Properties
The calculation puts the total energy at -13.334 eV per cell. The value obtained for the formation energy is 1.1368 eV/atom. Its symmetry is F-43m. Its crystal system is cubic. The calculation puts the theoretical density at 5.2 g/cm³. For the density of states at the Fermi level, the calculation gives 4.05 states/eV/f.u. As for the magnetization: 0.00 μB/cell.

ScRu: relaxed, PBE-GGA.

```
16
Lattice="-2.505 4.141 -2.795 -4.102 -3.137 -0.970 -4.129 2.917 8.024" Properties=species:S:1:pos:R:3 pbc="T T T"
Sc -5.839 0.955 2.601
Sc -1.987 2.097 1.237
Sc -1.837 -0.381 -0.459
Sc -7.083 4.029 3.079
Sc -7.658 -0.131 4.733
Sc -4.746 1.850 -0.531
Sc -6.287 4.942 5.829
Sc -7.511 2.328 0.545
Ru -4.394 3.013 2.248
Ru -8.650 1.895 2.960
Ru -8.256 2.484 6.058
Ru -3.788 -0.121 1.204
Ru -3.293 0.826 3.610
Ru -3.114 3.938 -0.538
Ru -5.922 2.132 4.891
Ru -5.531 1.521 -3.399
```

## Properties
The calculation puts the total energy at -129.019 eV per cell. The value obtained for the formation energy is -0.2600 eV/atom. Its symmetry is P2_12_12_1. Its crystal system is orthorhombic. The calculation puts the theoretical density at 7.0 g/cm³. For the density of states at the Fermi level, the calculation gives 1.51 states/eV/f.u. As for the magnetization: 0.00 μB/cell.

ScRu: relaxed, PBE-GGA.

```
2
Lattice="-2.100 2.023 -2.353 -0.073 -0.850 -3.648 -1.636 -2.275 2.487" Properties=species:S:1:pos:R:3 pbc="T T T"
Ru 0.000 0.000 0.000
Sc -1.905 -0.551 -1.757
```

## Properties
The calculation puts the total energy at -15.117 eV per cell. The value obtained for the formation energy is 0.2452 eV/atom. Its symmetry is Fm-3m. Its crystal system is cubic. The calculation puts the theoretical density at 6.5 g/cm³. For the density of states at the Fermi level, the calculation gives 3.05 states/eV/f.u. As for the magnetization: 0.33 μB/cell.

Sc6Ru7: relaxed, PBE-GGA.

```
13
Lattice="-5.252 7.797 -3.041 -7.258 3.653 -5.622 -8.713 4.616 -0.640" Properties=species:S:1:pos:R:3 pbc="T T T"
Sc -7.155 5.416 -3.136
Sc -1.135 0.859 -0.498
Sc -3.277 2.480 -1.436
Sc -20.088 15.206 -8.805
Sc -14.068 10.649 -6.166
Sc -17.947 13.585 -7.866
Ru -8.915 7.692 -2.657
Ru -10.612 8.033 -4.651
Ru -11.281 10.497 -5.323
Ru -8.170 7.199 -5.210
Ru -9.943 5.569 -3.980
Ru -13.054 8.867 -4.093
Ru -12.308 8.374 -6.645
```

## Properties
The calculation puts the total energy at -107.331 eV per cell. The value obtained for the formation energy is -0.3393 eV/atom. Its symmetry is R-3m. Its crystal system is trigonal. The calculation puts the theoretical density at 7.2 g/cm³. For the density of states at the Fermi level, the calculation gives 15.23 states/eV/f.u. As for the magnetization: 0.00 μB/cell.

Sc7Ru: relaxed, PBE-GGA.

```
8
Lattice="2.071 -1.053 5.817 -1.514 3.944 4.626 -4.000 -1.804 4.471" Properties=species:S:1:pos:R:3 pbc="T T T"
Sc 0.279 1.445 5.222
Sc 1.036 -0.527 2.909
Sc -1.721 0.543 7.457
Sc -2.000 -0.902 2.235
Sc -0.757 1.972 2.313
Sc -2.757 1.070 4.548
Sc -0.964 -1.429 5.144
Ru 0.000 0.000 0.000
```

## Properties
The calculation puts the total energy at -53.408 eV per cell. The value obtained for the formation energy is 0.0236 eV/atom. Its symmetry is Fm-3m. Its crystal system is cubic. The calculation puts the theoretical density at 4.0 g/cm³. For the density of states at the Fermi level, the calculation gives 10.95 states/eV/f.u. As for the magnetization: 0.00 μB/cell.

Sc3Ru: relaxed, PBE-GGA.

```
4
Lattice="-3.956 -1.176 2.433 -0.570 -4.469 1.630 0.254 -0.885 4.701" Properties=species:S:1:pos:R:3 pbc="T T T"
Sc -2.136 -3.265 4.382
Sc -1.068 -1.632 2.191
Sc -3.204 -4.897 6.573
Ru 0.000 0.000 0.000
```

## Properties
The calculation puts the total energy at -28.951 eV per cell. The value obtained for the formation energy is -0.1701 eV/atom. Its symmetry is Fm-3m. Its crystal system is cubic. The calculation puts the theoretical density at 5.0 g/cm³. For the density of states at the Fermi level, the calculation gives 4.63 states/eV/f.u. As for the magnetization: 0.00 μB/cell.

Sc5Ru4: relaxed, PBE-GGA.

```
9
Lattice="-4.119 4.119 2.354 4.119 -4.119 2.354 4.119 4.119 -2.354" Properties=species:S:1:pos:R:3 pbc="T T T"
Sc 0.000 0.000 0.000
Sc 1.489 -1.489 2.354
Sc -1.489 1.489 2.354
Sc 1.489 1.489 2.354
Sc 2.630 2.630 0.000
Ru 5.408 0.000 0.000
Ru 0.000 5.408 0.000
Ru 2.831 0.000 0.000
Ru 0.000 2.831 0.000
```

## Properties
The calculation puts the total energy at -70.094 eV per cell. The value obtained for the formation energy is -0.1481 eV/atom. Its symmetry is I4/mmm. Its crystal system is tetragonal. The calculation puts the theoretical density at 6.5 g/cm³. For the energy relative to the lowest polymorph listed for this composition, the calculation gives 246 meV per atom. For the density of states at the Fermi level, the calculation gives 12.27 states/eV/f.u. As for the magnetization: 0.00 μB/cell.

ScRu5: relaxed, PBE-GGA.

```
6
Lattice="1.390 4.999 0.003 -1.390 4.999 0.003 0.000 1.646 6.378" Properties=species:S:1:pos:R:3 pbc="T T T"
Ru 0.000 1.765 6.374
Ru 0.000 6.500 1.843
Ru 0.000 10.438 3.863
Ru 0.000 7.647 4.170
Ru 0.000 3.897 2.186
Sc 0.000 4.391 6.033
```

## Properties
The calculation puts the total energy at -53.101 eV per cell. The value obtained for the formation energy is -0.0651 eV/atom. Its symmetry is Cm. Its crystal system is monoclinic. The calculation puts the theoretical density at 10.3 g/cm³. For the energy relative to the lowest polymorph listed for this composition, the calculation gives 0 meV per atom. For the density of states at the Fermi level, the calculation gives 6.72 states/eV/f.u. As for the magnetization: 0.00 μB/cell.

Sc3Ru: relaxed, PBE-GGA.

```
4
Lattice="-2.901 2.638 3.186 -3.534 -3.603 -0.234 2.151 -2.363 3.914" Properties=species:S:1:pos:R:3 pbc="T T T"
Sc -1.767 -1.802 -0.117
Sc -1.450 1.319 1.593
Sc 1.075 -1.181 1.957
Ru 0.000 0.000 0.000
```

## Properties
The calculation puts the total energy at -27.375 eV per cell. The value obtained for the formation energy is 0.2238 eV/atom. Its symmetry is Pm-3m. Its crystal system is cubic. The calculation puts the theoretical density at 3.0 g/cm³. For the density of states at the Fermi level, the calculation gives 4.69 states/eV/f.u. As for the magnetization: 0.00 μB/cell.

Sc3Ru: relaxed, PBE-GGA.

```
4
Lattice="-0.755 -2.879 1.273 2.965 1.229 0.422 -2.842 4.185 7.778" Properties=species:S:1:pos:R:3 pbc="T T T"
Sc -1.421 2.093 3.889
Sc 1.133 0.731 2.326
Sc -0.525 3.173 6.864
Ru 0.000 0.000 0.000
```

## Properties
The calculation puts the total energy at -28.837 eV per cell. The value obtained for the formation energy is -0.1418 eV/atom. Its symmetry is P-6m2. Its crystal system is hexagonal. The calculation puts the theoretical density at 4.7 g/cm³. For the density of states at the Fermi level, the calculation gives 2.68 states/eV/f.u. As for the magnetization: 0.72 μB/cell.

Sc5Ru: relaxed, PBE-GGA.

```
6
Lattice="2.704 -4.683 0.000 2.704 4.683 0.000 0.000 0.000 5.405" Properties=species:S:1:pos:R:3 pbc="T T T"
Sc 2.704 1.561 0.000
Sc 1.352 2.342 2.702
Sc 2.704 0.000 2.702
Sc 1.352 -2.342 2.702
Sc 2.704 -1.561 0.000
Ru 0.000 0.000 0.000
```

## Properties
The calculation puts the total energy at -37.123 eV per cell. The value obtained for the formation energy is 0.6352 eV/atom. Its symmetry is P6/mmm. Its crystal system is hexagonal. The calculation puts the theoretical density at 4.0 g/cm³. For the energy relative to the lowest polymorph listed for this composition, the calculation gives 862 meV per atom. For the density of states at the Fermi level, the calculation gives 7.44 states/eV/f.u. As for the magnetization: 0.00 μB/cell.

Sc3Ru: relaxed, PBE-GGA.

```
8
Lattice="-2.105 2.105 9.039 2.105 -2.105 9.039 2.105 2.105 -9.039" Properties=species:S:1:pos:R:3 pbc="T T T"
Ru 0.000 0.000 11.607
Ru 0.000 0.000 6.470
Sc 0.000 0.000 15.791
Sc 0.000 2.105 0.000
Sc 0.000 2.105 4.519
Sc 2.105 0.000 0.000
Sc 0.000 0.000 2.287
Sc 2.105 0.000 4.519
```

## Properties
The calculation puts the total energy at -57.461 eV per cell. The value obtained for the formation energy is -0.1150 eV/atom. Its symmetry is I4/mmm. Its crystal system is tetragonal. The calculation puts the theoretical density at 4.9 g/cm³. For the density of states at the Fermi level, the calculation gives 4.03 states/eV/f.u. As for the magnetization: 0.39 μB/cell.